## VHSe (GGA-PBE)

Data for VHSe after structural relaxation.

Lattice parameters (Å, degrees): 3.0643 4.5982 6.7305 101.56 89.90 90.00
Last column: nearest neighbours and their distance in Å.
Element x y z (fractional)
H 0.8950 0.3882 0.2264  3 V 1.83-1.89
H 0.3939 0.6628 0.4756  3 V 1.83-1.89
Se 0.8933 0.2008 0.6263  3 V 2.40-2.46
Se 0.3956 0.8502 0.0755  3 V 2.40-2.46
V 0.8944 0.7813 0.3492  3 H 1.83-1.89
V 0.3944 0.2696 0.3527  3 H 1.83-1.89

Summary:
Crystal system: triclinic

***

## V2HSe (GGA-PBE)

Data for V2HSe after structural relaxation.

Lattice parameters (Å, degrees): 4.1467 4.1467 5.1074 66.05 66.05 60.00
Last column: nearest neighbours and their distance in Å.
Element x y z (fractional)
V 0.8718 0.8718 0.3847  1 H 1.74
V 0.1282 0.1282 0.6153  1 H 1.74
Se 0.5000 0.5000 0.5000  6 V 2.45
H 0.0000 0.0000 0.0000  2 V 1.74

Summary:
Crystal system: trigonal
Polymorph energy (0 for the lowest one) in eV/atom: 0.1452

***

## VH2Se2 (GGA-PBE)

Data for VH2Se2 after structural relaxation.

Lattice parameters (Å, degrees): 3.1632 3.1632 9.1321 80.03 80.03 60.00
Last column: nearest neighbours and their distance in Å.
Element x y z (fractional)
Se 0.6050 0.6050 0.1849  3 V 2.46
Se 0.3950 0.3950 0.8151  3 V 2.46
H 0.1670 0.1670 0.4989  3 H 1.83
H 0.8330 0.8330 0.5011  3 H 1.83
V 0.0000 0.0000 0.0000  6 Se 2.46

Summary:
Crystal system: trigonal
Polymorph energy (0 for the lowest one) in eV/atom: 0.4288

***

## VHSe (GGA-PBE)

Data for VHSe after structural relaxation.

Lattice parameters (Å, degrees): 4.6139 6.3002 10.8495 81.98 91.01 91.89
Last column: nearest neighbours and their distance in Å.
Element x y z (fractional)
Se 0.3928 0.8062 0.3864  2 H 2.55-2.61, 6 V 2.58-2.74
Se 0.5675 0.0886 0.6224  1 H 2.26, 3 V 2.48-2.50
Se 0.1008 0.2960 0.4142  3 H 2.34-2.56, 4 V 2.50-2.62
Se 0.4236 0.7066 0.8447  1 H 2.35, 3 V 2.61-2.62
Se 0.9630 0.5945 0.6185  3 H 2.31-2.52, 4 V 2.45-2.51
Se 0.9242 0.5194 0.1032  3 H 2.43-2.64, 5 V 2.48-2.68
Se 0.6493 0.9991 0.0778  5 H 2.46-2.63, 4 V 2.47-2.60
Se 0.1275 0.2113 0.8472  1 H 2.39, 5 V 2.59-2.65
V 0.6159 0.4431 0.4715  3 H 1.77-1.82
V 0.4143 0.3679 0.0245  2 H 1.73-1.76
V 0.8864 0.7855 0.2571  2 H 1.74-1.77
V 0.3814 0.5116 0.2422  3 H 1.74-1.84
V 0.8827 0.9277 0.4782  1 H 1.82
V 0.1497 0.8699 0.0167  2 H 1.71-1.74
V 0.6277 0.3729 0.7610  2 H 1.75-1.87
V 0.9198 0.8751 0.7594  2 H 1.74-1.83
H 0.6863 0.3298 0.9224  2 V 1.73-1.75
H 0.4335 0.4807 0.6137  2 V 1.82-1.87
H 0.5728 0.3033 0.3373  1 H 1.62, 2 V 1.80-1.81
H 0.7360 0.5372 0.3190  1 H 1.62, 2 V 1.74-1.77
H 0.3957 0.2687 0.1838  2 V 1.74-1.76, 1 H 1.88
H 0.8928 0.7841 0.9181  2 V 1.71-1.74
H 0.0935 0.9871 0.6129  2 V 1.82-1.83
H 0.1627 0.9337 0.1680  2 V 1.74-1.77

Summary:
Crystal system: triclinic

***

## VH2Se2 (GGA-PBE)

Data for VH2Se2 after structural relaxation.

Lattice parameters (Å, degrees): 5.4599 5.2783 7.6051 84.43 79.19 58.86
Last column: nearest neighbours and their distance in Å.
Element x y z (fractional)
Se 0.5631 0.4997 0.7581  2 V 2.49, 2 H 2.69-2.70, 2 Se 2.73
Se 0.4369 0.5003 0.2419  2 V 2.49, 2 H 2.69-2.70, 2 Se 2.73
Se 0.0628 0.5003 0.7581  2 V 2.49, 2 H 2.69-2.70, 2 Se 2.73
Se 0.9372 0.4997 0.2419  2 V 2.49, 2 H 2.69-2.70, 2 Se 2.73
V 0.1347 0.7305 0.0000  4 H 1.75-1.79
V 0.8653 0.2695 0.0000  4 H 1.75-1.79
H 0.9564 0.0000 0.1683  2 V 1.75, 2 H 1.82
H 0.0436 0.0000 0.8317  2 V 1.75, 2 H 1.82
H 0.7591 0.0000 0.0002  2 V 1.79, 2 H 1.82
H 0.2409 0.0000 0.9998  2 V 1.79, 2 H 1.82

Summary:
Crystal system: monoclinic
Polymorph energy (0 for the lowest one) in eV/atom: 0.0000

***

## V2HSe (GGA-PBE)

Data for V2HSe after structural relaxation.

Lattice parameters (Å, degrees): 4.5212 4.5212 6.0607 68.10 68.10 90.00
Last column: nearest neighbours and their distance in Å.
Element x y z (fractional)
V 0.4512 0.1250 0.2500  2 H 1.75
V 0.3750 0.5488 0.7500  2 H 1.75
V 0.2988 0.6250 0.2500  2 H 1.75
V 0.8750 0.7012 0.7500  2 H 1.75
H 0.5000 0.5000 0.0000  4 V 1.75
H 0.2500 0.7500 0.5000  4 V 1.75
Se 0.7500 0.2500 0.5000  4 V 2.57
Se 0.0000 0.0000 0.0000  4 V 2.57

Summary:
Crystal system: tetragonal
Polymorph energy (0 for the lowest one) in eV/atom: 0.0000

***

## VH2Se (GGA-PBE)

Data for VH2Se after structural relaxation.

Lattice parameters (Å, degrees): 3.6697 3.6697 6.8711 74.51 74.51 90.00
Last column: nearest neighbours and their distance in Å.
Element x y z (fractional)
H 0.3749 0.6250 0.2500  2 H 1.83, 2 V 1.84
H 0.8750 0.6251 0.7500  2 H 1.83, 2 V 1.84
H 0.3750 0.6249 0.7500  2 H 1.83, 2 V 1.84
H 0.3751 0.1250 0.2500  2 H 1.83, 2 V 1.84
V 0.5000 0.5000 0.0000  4 H 1.84
V 0.2500 0.7500 0.5000  4 H 1.84
Se 0.0000 0.0000 0.0000  4 V 2.59, 8 H 2.60
Se 0.7500 0.2500 0.5000  4 V 2.59, 8 H 2.60

Summary:
Crystal system: tetragonal
Polymorph energy (0 for the lowest one) in eV/atom: 0.0000

***

## VHSe3 (GGA-PBE)

Data for VHSe3 after structural relaxation.

Lattice parameters (Å, degrees): 4.3237 4.3237 4.3237 90.00 90.00 90.00
Last column: nearest neighbours and their distance in Å.
Element x y z (fractional)
Se 0.0000 0.0000 0.5000  2 H 2.16
Se 0.5000 0.0000 0.0000  2 H 2.16
Se 0.0000 0.5000 0.0000  2 H 2.16
H 0.0000 0.0000 0.0000  6 Se 2.16
V 0.5000 0.5000 0.5000  12 Se 3.06

Summary:
Crystal system: cubic
Polymorph energy (0 for the lowest one) in eV/atom: 0.3093

***

## VHSe3 (GGA-PBE)

Data for VHSe3 after structural relaxation.

Lattice parameters (Å, degrees): 4.8127 4.8127 4.8127 90.00 90.00 90.00
Last column: nearest neighbours and their distance in Å.
Element x y z (fractional)
Se 0.0000 0.0000 0.5000  2 V 2.41
Se 0.5000 0.0000 0.0000  2 V 2.41
Se 0.0000 0.5000 0.0000  2 V 2.41
V 0.0000 0.0000 0.0000  6 Se 2.41
H 0.5000 0.5000 0.5000  12 Se 3.40

Summary:
Crystal system: cubic
Polymorph energy (0 for the lowest one) in eV/atom: 0.0000

***

## VH2Se (GGA-PBE)

Data for VH2Se after structural relaxation.

Lattice parameters (Å, degrees): 3.8747 3.8747 3.8747 60.00 60.00 60.00
Last column: nearest neighbours and their distance in Å.
Element x y z (fractional)
V 0.0000 0.0000 0.0000  8 H 2.37
H 0.7500 0.7500 0.7500  4 Se 2.37, 4 V 2.37
H 0.2500 0.2500 0.2500  4 Se 2.37, 4 V 2.37
Se 0.5000 0.5000 0.5000  8 H 2.37

Summary:
Crystal system: cubic
Polymorph energy (0 for the lowest one) in eV/atom: 0.3790

***

## V2H2Se (GGA-PBE)

Data for V2H2Se after structural relaxation.

Lattice parameters (Å, degrees): 3.0551 3.0551 5.5621 74.06 74.06 90.00
Last column: nearest neighbours and their distance in Å.
Element x y z (fractional)
Se 0.0000 0.0000 0.0000  8 V 2.63
H 0.7500 0.2500 0.5000  4 V 1.86
H 0.2500 0.7500 0.5000  4 V 1.86
V 0.3541 0.3541 0.2917  4 H 1.86
V 0.6459 0.6459 0.7083  4 H 1.86

Summary:
Crystal system: tetragonal

***

## V2HWSe (GGA-PBE)

Data for V2HWSe after structural relaxation.

Lattice parameters (Å, degrees): 4.9277 4.7191 4.9277 90.00 90.00 90.00
Last column: nearest neighbours and their distance in Å.
Element x y z (fractional)
H 0.5000 0.5000 0.5000  8 V 3.41, 4 Se 3.48
Se 0.0000 0.5000 0.0000  2 W 2.36
V 0.5000 0.0000 0.0000  2 W 2.46
V 0.0000 0.0000 0.5000  2 W 2.46
W 0.0000 0.0000 0.0000  2 Se 2.36, 4 V 2.46

Summary:
Crystal system: tetragonal

***

## YVH2Se (GGA-PBE)

Data for YVH2Se after structural relaxation.

Lattice parameters (Å, degrees): 3.9923 5.7457 3.9923 90.00 90.00 90.00
Last column: nearest neighbours and their distance in Å.
Element x y z (fractional)
V 0.5000 0.5000 0.5000  4 Se 2.82
Y 0.0000 0.0000 0.0000  4 H 2.00
H 0.0000 0.0000 0.5000  2 Y 2.00
H 0.5000 0.0000 0.0000  2 Y 2.00
Se 0.0000 0.5000 0.0000  4 V 2.82, 2 Y 2.87

Summary:
Crystal system: tetragonal

***

## HW3Se (GGA-PBE)

Data for HW3Se after structural relaxation.

Lattice parameters (Å, degrees): 4.0867 4.0867 4.0867 90.00 90.00 90.00
Last column: nearest neighbours and their distance in Å.
Element x y z (fractional)
W 0.0000 0.0000 0.5000  2 H 2.04
W 0.0000 0.5000 0.0000  2 H 2.04
W 0.5000 0.0000 0.0000  2 H 2.04
H 0.0000 0.0000 0.0000  6 W 2.04
Se 0.5000 0.5000 0.5000  12 W 2.89

Summary:
Crystal system: cubic
Polymorph energy (0 for the lowest one) in eV/atom: 0.0000

***

## HWSe3 (GGA-PBE)

Data for HWSe3 after structural relaxation.

Lattice parameters (Å, degrees): 4.9461 4.9461 4.9461 90.00 90.00 90.00
Last column: nearest neighbours and their distance in Å.
Element x y z (fractional)
W 0.0000 0.0000 0.0000  6 Se 2.47
Se 0.0000 0.0000 0.5000  2 W 2.47
Se 0.0000 0.5000 0.0000  2 W 2.47
Se 0.5000 0.0000 0.0000  2 W 2.47
H 0.5000 0.5000 0.5000  12 Se 3.50

Summary:
Crystal system: cubic

***

## HW2Se (GGA-PBE)

Data for HW2Se after structural relaxation.

Lattice parameters (Å, degrees): 4.8514 4.8514 6.1180 66.64 66.64 90.00
Last column: nearest neighbours and their distance in Å.
Element x y z (fractional)
W 0.2505 0.6250 0.2500  2 H 1.85
W 0.4995 0.1250 0.2500  2 H 1.85
W 0.3750 0.5005 0.7500  2 H 1.85
W 0.8750 0.7495 0.7500  2 H 1.85
Se 0.0000 0.0000 0.0000  4 W 2.53
Se 0.7500 0.2500 0.5000  4 W 2.53
H 0.5000 0.5000 0.0000  4 W 1.85
H 0.2500 0.7500 0.5000  4 W 1.85

Summary:
Crystal system: tetragonal
Polymorph energy (0 for the lowest one) in eV/atom: 0.0000

***

## HW2Se (GGA-PBE)

Data for HW2Se after structural relaxation.

Lattice parameters (Å, degrees): 4.2267 4.2267 4.2267 60.00 60.00 60.00
Last column: nearest neighbours and their distance in Å.
Element x y z (fractional)
Se 0.5000 0.5000 0.5000  8 W 2.59
W 0.7500 0.7500 0.7500  4 Se 2.59, 4 H 2.59
W 0.2500 0.2500 0.2500  4 H 2.59, 4 Se 2.59
H 0.0000 0.0000 0.0000  8 W 2.59

Summary:
Crystal system: cubic
Polymorph energy (0 for the lowest one) in eV/atom: 0.4435

***

## HWSe (GGA-PBE)

Data for HWSe after structural relaxation.

Lattice parameters (Å, degrees): 7.0968 10.9498 10.9498 83.97 71.09 71.09
Last column: nearest neighbours and their distance in Å.
Element x y z (fractional)
Se 0.9853 0.3260 0.2954  4 H 2.58-2.88, 3 W 2.63-2.68
Se 0.7647 0.1740 0.2046  4 H 2.58-2.88, 3 W 2.63-2.68
Se 0.5058 0.1795 0.0229  2 W 2.48-2.50, 2 H 2.60-2.75
Se 0.0306 0.2046 0.8260  4 H 2.58-2.88, 3 W 2.63-2.68
Se 0.2786 0.4771 0.6795  2 W 2.48-2.50, 2 H 2.60-2.75
Se 0.7194 0.2954 0.6740  4 H 2.58-2.88, 3 W 2.63-2.68
Se 0.7081 0.8205 0.9771  2 W 2.48-2.50, 2 H 2.60-2.75
Se 0.1433 0.8260 0.7954  4 H 2.58-2.88, 3 W 2.63-2.68
Se 0.6887 0.7046 0.3260  4 H 2.58-2.88, 3 W 2.63-2.68
Se 0.4353 0.5229 0.3205  2 W 2.48-2.50, 2 H 2.60-2.75
Se 0.2442 0.3205 0.4771  2 W 2.48-2.50, 2 H 2.60-2.75
Se 0.0613 0.7954 0.1740  4 H 2.58-2.88, 3 W 2.63-2.68
Se 0.4714 0.0229 0.8205  2 W 2.48-2.50, 2 H 2.60-2.75
Se 0.0419 0.6795 0.5229  2 W 2.48-2.50, 2 H 2.60-2.75
Se 0.6067 0.6740 0.7046  4 H 2.58-2.88, 3 W 2.63-2.68
Se 0.3147 0.9771 0.1795  2 W 2.48-2.50, 2 H 2.60-2.75
H 0.3704 0.0987 0.6110  3 W 1.86-1.97
H 0.2191 0.1110 0.4013  3 W 1.86-1.97
H 0.3796 0.4013 0.8890  3 W 1.86-1.97
H 0.5309 0.3890 0.0987  3 W 1.86-1.97
H 0.0815 0.5274 0.1872  3 W 1.91-1.99
H 0.3912 0.8128 0.5274  3 W 1.91-1.99
H 0.0187 0.3128 0.0274  3 W 1.91-1.99
H 0.7314 0.8890 0.5987  3 W 1.86-1.97
H 0.9540 0.0274 0.6872  3 W 1.91-1.99
H 0.6685 0.9726 0.3128  3 W 1.91-1.99
H 0.7313 0.1872 0.4726  3 W 1.91-1.99
H 0.0801 0.9013 0.3890  3 W 1.86-1.97
H 0.3588 0.6872 0.9726  3 W 1.91-1.99
H 0.0186 0.6110 0.9013  3 W 1.86-1.97
H 0.7960 0.4726 0.8128  3 W 1.91-1.99
H 0.6699 0.5987 0.1110  3 W 1.86-1.97
W 0.3486 0.5697 0.1152  3 H 1.91-1.99
W 0.7497 0.4164 0.1382  3 H 1.86-1.95
W 0.8339 0.8618 0.4164  3 H 1.86-1.95
W 0.0817 0.8848 0.5697  3 H 1.91-1.99
W 0.0003 0.0836 0.3618  3 H 1.86-1.95
W 0.5362 0.1152 0.4303  3 H 1.91-1.99
W 0.0335 0.4303 0.8848  3 H 1.91-1.99
W 0.6379 0.3618 0.9164  3 H 1.86-1.95
W 0.4458 0.9164 0.6382  3 H 1.86-1.95
W 0.6683 0.6152 0.9303  3 H 1.91-1.99
W 0.3042 0.5836 0.8618  3 H 1.86-1.95
W 0.4014 0.9303 0.3848  3 H 1.91-1.99
W 0.2138 0.3848 0.0697  3 H 1.91-1.99
W 0.9161 0.6382 0.0836  3 H 1.86-1.95
W 0.7165 0.0697 0.6152  3 H 1.91-1.99
W 0.1121 0.1382 0.5836  3 H 1.86-1.95

Summary:
Crystal system: tetragonal

***

## YH2Se (GGA-PBE)

Data for YH2Se after structural relaxation.

Lattice parameters (Å, degrees): 3.6279 3.6279 15.5262 90.00 90.00 120.00
Last column: nearest neighbours and their distance in Å.
Element x y z (fractional)
Se 0.0000 0.0000 0.2292  4 H 2.91-3.09, 4 Y 3.01-3.02
Se 0.6667 0.3333 0.5626  4 H 2.91-3.09, 4 Y 3.01-3.02
Se 0.3333 0.6667 0.8959  4 H 2.91-3.09, 4 Y 3.01-3.02
H 0.3333 0.6667 0.0833  3 H 2.12, 3 Y 2.23
H 0.6667 0.3333 0.7499  3 H 2.12, 3 Y 2.23
H 0.3333 0.6667 0.3946  3 H 2.12, 3 Y 2.13
H 0.6667 0.3333 0.0612  3 H 2.12, 3 Y 2.13
H 0.0000 0.0000 0.4166  3 H 2.12, 3 Y 2.23
H 0.0000 0.0000 0.7279  3 H 2.12, 3 Y 2.13
Y 0.6667 0.3333 0.3682  6 H 2.13-2.23
Y 0.0000 0.0000 0.0349  6 H 2.13-2.23
Y 0.3333 0.6667 0.7015  6 H 2.13-2.23

Summary:
Crystal system: trigonal
Polymorph energy (0 for the lowest one) in eV/atom: 0.3424

***

## YHSe2 (GGA-PBE)

Data for YHSe2 after structural relaxation.

Lattice parameters (Å, degrees): 4.4262 7.0684 5.6203 90.04 90.00 90.01
Last column: nearest neighbours and their distance in Å.
Element x y z (fractional)
H 0.3993 0.0560 0.2416  1 Se 1.49
H 0.8993 0.9224 0.3275  1 Se 1.49
Se 0.4004 0.6726 0.2370  3 H 2.71-2.88, 4 Y 2.87-2.98
Se 0.4002 0.1731 0.0223  1 H 1.49
Se 0.9003 0.0514 0.5368  1 H 1.49
Se 0.9002 0.5417 0.7330  4 Y 2.87-2.95
Y 0.9003 0.4140 0.2331  7 Se 2.87-3.08
Y 0.4003 0.8013 0.7419  7 Se 2.87-3.06

Summary:
Crystal system: monoclinic
Polymorph energy (0 for the lowest one) in eV/atom: 0.0255

***

no.,V (Å³/atom),magnetic moment (μB/f.u.),calculated total energy (eV per cell)
1,15.48,0.0,-34.5
2,16.80,0.0,-24.3
3,15.51,0.7,-21.7
4,13.00,0.8,-133.4
5,18.43,0.0,-47.7
6,13.16,0.0,-49.8
7,10.71,1.2,-36.9
8,16.17,2.7,-19.6
9,22.30,1.0,-21.1
10,10.28,2.6,-16.9
11,9.57,0.0,-29.5
12,22.92,4.2,-30.4
13,18.32,4.0,-26.7
14,13.65,0.0,-41.4
15,24.20,1.0,-23.7
16,14.90,0.0,-60.4
17,13.35,0.0,-28.4
18,15.87,0.0,-315.9
19,14.75,0.0,-57.8
20,21.98,0.0,-42.8